VASP calculation (PBE) on an optimized crystal structure of PaAlRh2.

**Formation energy**: -2.90 eV/f.u.
**Space group**: Fm-3m (225)
**Spin magnetization**: 0.00 Bohr magnetons per cell

Unit cell a=4.6674 b=4.6674 c=4.6674 alpha=60.00 beta=60.00 gamma=60.00
Atoms (fractional coordinates):
Pa1 0.0000 0.0000 0.0000
Rh1 0.2500 0.2500 0.2500
Rh2 0.7500 0.7500 0.7500
Al1 0.5000 0.5000 0.5000